(1)
VGa2CuH | PBE | optimized geometry

Cell: 4.048 3.629 4.048 Å, 90.00 90.00 90.00°
Last column: magnetic moment on the atom in μB.
Fractional positions:
H 0.000 0.000 0.000  0.00
Cu 0.500 0.500 0.500  -0.01
Ga 0.000 0.000 0.500  -0.02
Ga 0.500 0.000 0.000  -0.02
V 0.000 0.500 0.000  0.83

Calculated values
Its density of states at the Fermi level is 2.5 states/eV/cell. As for the density: 7.12 g/cm³. The calculation puts the electronic total energy at -22.0 eV for the cell shown.



(2)
GaCu2HW | PBE | optimized geometry

Cell: 4.870 3.304 4.870 Å, 90.00 90.00 90.00°
Fractional positions:
H 0.000 0.500 0.000
Cu 0.000 0.000 0.500
Cu 0.500 0.000 0.000
Ga 0.500 0.500 0.500
W 0.000 0.000 0.000

Calculated values
Its density of states at the Fermi level is 3.2 states/eV/cell. As for the density: 8.09 g/cm³. The calculation puts the electronic total energy at -22.4 eV for the cell shown.



(3)
ZnGaCu2H | PBE | optimized geometry

Cell: 3.835 3.835 3.938 Å, 90.00 90.00 90.00°
Fractional positions:
H 0.000 0.000 0.000
Zn 0.000 0.000 0.500
Cu 0.000 0.500 0.000
Cu 0.500 0.000 0.000
Ga 0.500 0.500 0.500

Calculated values
Its density of states at the Fermi level is 1.5 states/eV/cell. As for the density: 7.55 g/cm³. The calculation puts the electronic total energy at -15.0 eV for the cell shown.



(4)
Zr2GaCuH | PBE | optimized geometry

Cell: 4.342 4.342 3.936 Å, 90.00 90.00 90.00°
Fractional positions:
H 0.000 0.000 0.000
Cu 0.000 0.000 0.500
Ga 0.500 0.500 0.500
Zr 0.000 0.500 0.000
Zr 0.500 0.000 0.000

Calculated values
Its density of states at the Fermi level is 2.2 states/eV/cell. As for the density: 7.09 g/cm³. The calculation puts the electronic total energy at -29.4 eV for the cell shown.



(5)
Hf3Ga2Cu | PBE | optimized geometry

Cell: 4.122 9.819 10.829 Å, 90.00 90.00 90.00°
Fractional positions:
Hf 0.250 0.376 0.036
Hf 0.750 0.624 0.964
Hf 0.750 0.876 0.464
Hf 0.250 0.124 0.536
Hf 0.250 0.671 0.204
Hf 0.750 0.329 0.796
Hf 0.750 0.171 0.296
Hf 0.250 0.829 0.704
Hf 0.250 0.405 0.355
Hf 0.750 0.595 0.645
Hf 0.750 0.905 0.145
Hf 0.250 0.095 0.855
Ga 0.250 0.670 0.484
Ga 0.750 0.330 0.516
Ga 0.750 0.170 0.016
Ga 0.250 0.830 0.984
Ga 0.250 0.965 0.315
Ga 0.750 0.035 0.685
Ga 0.750 0.465 0.185
Ga 0.250 0.535 0.815
Cu 0.250 0.104 0.123
Cu 0.750 0.896 0.877
Cu 0.750 0.604 0.377
Cu 0.250 0.396 0.623

Calculated values
Its density of states at the Fermi level is 15.5 states/eV/cell. As for the density: 11.19 g/cm³. The calculation puts the calculated formation energy at -0.37 eV per atom.



(6)
HfGaCu | PBE | optimized geometry

Cell: 5.586 4.150 5.441 Å, 67.57 78.73 111.80°
Fractional positions:
Hf 0.007 0.557 0.342
Hf 0.511 0.417 0.126
Ga 0.077 0.910 0.706
Ga 0.536 0.740 0.505
Cu 0.514 0.084 0.795
Cu 0.934 0.195 0.994

Calculated values
Its density of states at the Fermi level is 3.3 states/eV/cell. As for the density: 10.40 g/cm³. The calculation puts the calculated formation energy at -0.25 eV per atom.



(7)
HfGa4Cu2 | PBE | optimized geometry

Cell: 5.536 5.536 9.533 Å, 135.57 135.57 76.47°
Fractional positions:
Hf 0.000 0.000 0.000
Cu 0.729 0.729 0.499
Cu 0.271 0.271 0.501
Ga 0.806 0.194 0.500
Ga 0.194 0.806 0.500
Ga 0.500 0.000 0.000
Ga 0.000 0.500 0.000

Calculated values
Its density of states at the Fermi level is 2.9 states/eV/cell. As for the density: 8.20 g/cm³. The calculation puts the calculated formation energy at -0.15 eV per atom.



(8)
Hf2Ga8Cu | PBE | optimized geometry

Cell: 4.043 6.020 9.346 Å, 117.75 102.49 90.00°
Fractional positions:
Hf 0.812 0.217 0.623
Hf 0.188 0.783 0.377
Ga 0.391 0.574 0.781
Ga 0.628 0.976 0.257
Ga 0.786 0.671 0.571
Ga 0.988 0.261 0.977
Ga 0.214 0.329 0.429
Ga 0.372 0.024 0.743
Ga 0.609 0.426 0.219
Ga 0.012 0.739 0.023
Cu 0.500 0.000 0.000

Calculated values
Its density of states at the Fermi level is 3.9 states/eV/cell. As for the density: 8.32 g/cm³. The calculation puts the calculated formation energy at -0.21 eV per atom.